First-principles (PBE+U) data for CrCoF2 after structural relaxation, as listed in Alexandria.

a b c (Å): 5.8693 5.8693 5.8693
angles (deg): 90.00 90.00 90.00
Closest atoms and distances in Å follow each position.
Space group Fm-3m (No. 225)
Unique sites:
Cr 0.0000 0.0000 0.0000 (multiplicity 4)  8 F 2.54
Co 0.0000 0.0000 0.5000 (multiplicity 4)  8 F 2.54
F 0.2500 0.2500 0.2500 (multiplicity 8)  4 Cr 2.54, 4 Co 2.54

The energy above the lowest structure with this stoichiometry is 1.064 eV/atom. For the total energy, the calculation gives -67.6 eV per cell.